#1
Below is a geometry-optimized SrZrHgB2 structure, with properties calculated at the PBE level.

abc: 4.4982 5.5394 4.4982
angles: 90.00 90.00 90.00
Closest atoms and distances in Å follow each position.
Atoms (fractional coordinates):
Sr: 0.0000 0.5000 0.0000  2 Hg 2.77
B: 0.0000 0.0000 0.5000  2 Hg 2.25
B: 0.5000 0.0000 0.0000  2 Hg 2.25
Hg: 0.0000 0.0000 0.0000  4 B 2.25
Zr: 0.5000 0.5000 0.5000  4 Sr 3.18

Summary:
- Symmetry: No. 123

#2
Below is a geometry-optimized SrZrHgB2 structure, with properties calculated at the PBE level.

abc: 4.5567 5.4237 4.5567
angles: 90.00 90.00 90.00
Closest atoms and distances in Å follow each position.
Atoms (fractional coordinates):
Sr: 0.5000 0.5000 0.5000  4 Zr 3.22, 8 B 3.54
B: 0.0000 0.0000 0.5000  2 Hg 2.28
B: 0.5000 0.0000 0.0000  2 Hg 2.28
Hg: 0.0000 0.0000 0.0000  4 B 2.28
Zr: 0.0000 0.5000 0.0000  2 Hg 2.71

Summary:
- Symmetry: No. 123

Among the structures above, stability is smallest for #1.